Record 1
Density functional theory data (PBE-GGA) for Tc2RhW after structural relaxation. Values from VASP.

The structure in Quantum ESPRESSO input format:
```
&SYSTEM
  ibrav = 0, nat = 8, ntyp = 3
/
ATOMIC_SPECIES
Rh 102.91 Rh.upf
Tc 98.00 Tc.upf
W 183.84 W.upf
ATOMIC_POSITIONS angstrom
Rh 0.799 -1.515 2.056
Rh -2.194 -0.421 5.768
Tc -3.905 -2.636 8.241
Tc -1.685 -2.162 2.502
Tc -4.658 -1.105 6.265
Tc -0.636 -0.095 3.704
W 0.000 0.000 0.000
W -3.249 -2.579 4.588
CELL_PARAMETERS angstrom
-0.256 -3.673 0.876
1.855 0.643 3.236
-7.041 0.031 6.244
```

Properties
Calculated density (Mg/m³): 12.40
E_form (meV/atom): 670
Energy above the most stable polymorph in this dataset (eV per formula unit): 2.916
Symmetry: I-42d, No. 122
Spin magnetization (μB/f.u.): 0.0
E_tot (eV/atom): -9.589


Record 2
Density functional theory data (PBE-GGA) for TcRh2W after structural relaxation. Values from VASP.

The structure in Quantum ESPRESSO input format:
```
&SYSTEM
  ibrav = 0, nat = 8, ntyp = 3
/
ATOMIC_SPECIES
Rh 102.91 Rh.upf
W 183.84 W.upf
Tc 98.00 Tc.upf
ATOMIC_POSITIONS angstrom
Rh 5.237 5.129 1.995
Rh 1.638 5.237 0.665
Rh 5.344 1.746 0.665
Rh 8.728 8.836 1.995
W 0.000 0.000 0.000
W 6.983 3.491 1.330
Tc 3.491 6.983 1.330
Tc 3.491 3.491 0.000
CELL_PARAMETERS angstrom
6.983 0.000 0.000
0.000 6.983 0.000
3.491 3.491 2.661
```

Properties
Calculated density (Mg/m³): 12.49
E_form (meV/atom): 569
Energy above the most stable polymorph in this dataset (eV per formula unit): 3.099
Symmetry: I-42d, No. 122
Spin magnetization (μB/f.u.): 0.0
E_tot (eV/atom): -8.936


Record 3
Density functional theory data (PBE-GGA) for TcRh2W after structural relaxation. Values from VASP.

The structure in Quantum ESPRESSO input format:
```
&SYSTEM
  ibrav = 0, nat = 4, ntyp = 3
/
ATOMIC_SPECIES
Rh 102.91 Rh.upf
W 183.84 W.upf
Tc 98.00 Tc.upf
ATOMIC_POSITIONS angstrom
Rh -0.970 -2.368 0.953
Rh 1.158 -2.610 2.577
W 0.795 -2.953 5.295
Tc -0.380 -0.342 2.705
CELL_PARAMETERS angstrom
-1.934 1.928 2.821
-0.987 -2.367 0.941
3.336 -2.855 4.239
```

Properties
Calculated density (Mg/m³): 13.83
E_form (meV/atom): -127
Energy above the most stable polymorph in this dataset (eV per formula unit): 0.313
Symmetry: Pmmm, No. 47
Spin magnetization (μB/f.u.): 0.0
E_tot (eV/atom): -9.633


Record 4
Density functional theory data (PBE-GGA) for TcRhW after structural relaxation. Values from VASP.

The structure in Quantum ESPRESSO input format:
```
&SYSTEM
  ibrav = 0, nat = 6, ntyp = 3
/
ATOMIC_SPECIES
Tc 98.00 Tc.upf
Rh 102.91 Rh.upf
W 183.84 W.upf
ATOMIC_POSITIONS angstrom
Tc 1.367 0.005 3.424
Tc 0.000 2.255 2.822
Rh 1.367 0.963 0.892
Rh 0.000 1.297 5.354
W 0.000 -1.372 5.415
W 1.367 3.632 0.832
CELL_PARAMETERS angstrom
2.735 0.000 0.000
-1.367 5.081 -0.573
0.000 -2.821 6.819
```

Properties
Calculated density (Mg/m³): 14.14
E_form (meV/atom): 11
Energy above the most stable polymorph in this dataset (eV per formula unit): 0.021
Symmetry: C2/m, No. 12
Spin magnetization (μB/f.u.): 0.0
E_tot (eV/atom): -10.213


Record 5
Density functional theory data (PBE-GGA) for Tc2RhW after structural relaxation. Values from VASP.

The structure in Quantum ESPRESSO input format:
```
&SYSTEM
  ibrav = 0, nat = 4, ntyp = 3
/
ATOMIC_SPECIES
Tc 98.00 Tc.upf
Rh 102.91 Rh.upf
W 183.84 W.upf
ATOMIC_POSITIONS angstrom
Tc 0.000 0.000 0.000
Tc 0.788 2.250 1.381
Rh 2.384 -0.003 1.381
W 3.172 2.248 0.000
CELL_PARAMETERS angstrom
4.769 -0.005 0.000
1.575 4.501 0.000
-3.172 -2.248 2.761
```

Properties
Calculated density (Mg/m³): 13.52
E_form (meV/atom): -43
Energy above the most stable polymorph in this dataset (eV per formula unit): 0.062
Symmetry: I-4m2, No. 119
Spin magnetization (μB/f.u.): 0.0
E_tot (eV/atom): -10.302


Record 6
Density functional theory data (PBE-GGA) for TcRh2W after structural relaxation. Values from VASP.

The structure in Quantum ESPRESSO input format:
```
&SYSTEM
  ibrav = 0, nat = 4, ntyp = 3
/
ATOMIC_SPECIES
Tc 98.00 Tc.upf
W 183.84 W.upf
Rh 102.91 Rh.upf
ATOMIC_POSITIONS angstrom
Tc 0.000 0.000 0.000
W -1.818 0.736 5.019
Rh -2.727 1.104 7.529
Rh -0.909 0.368 2.510
CELL_PARAMETERS angstrom
-0.232 2.834 3.358
-3.591 0.113 2.540
0.187 -1.475 4.141
```

Properties
Calculated density (Mg/m³): 13.44
E_form (meV/atom): 374
Energy above the most stable polymorph in this dataset (eV per formula unit): 2.316
Symmetry: Fm-3m, No. 225
Spin magnetization (μB/f.u.): 0.0
E_tot (eV/atom): -9.132


Record 7
Density functional theory data (PBE-GGA) for Tc2RhW after structural relaxation. Values from VASP.

The structure in Quantum ESPRESSO input format:
```
&SYSTEM
  ibrav = 0, nat = 4, ntyp = 3
/
ATOMIC_SPECIES
Tc 98.00 Tc.upf
Rh 102.91 Rh.upf
W 183.84 W.upf
ATOMIC_POSITIONS angstrom
Tc -1.600 -2.106 -0.605
Tc -0.034 -0.031 0.029
Rh -4.079 -4.348 1.498
W -2.444 -2.210 2.073
CELL_PARAMETERS angstrom
-1.885 0.191 -2.019
1.044 -2.271 -1.191
-4.876 -4.410 4.137
```

Properties
Calculated density (Mg/m³): 13.46
E_form (meV/atom): -16
Energy above the most stable polymorph in this dataset (eV per formula unit): 0.171
Symmetry: P4mm, No. 99
Spin magnetization (μB/f.u.): 0.0
E_tot (eV/atom): -10.275


Record 8
Density functional theory data (PBE-GGA) for TcRh2W after structural relaxation. Values from VASP.

The structure in Quantum ESPRESSO input format:
```
&SYSTEM
  ibrav = 0, nat = 4, ntyp = 3
/
ATOMIC_SPECIES
W 183.84 W.upf
Rh 102.91 Rh.upf
Tc 98.00 Tc.upf
ATOMIC_POSITIONS angstrom
W 1.171 -4.041 2.448
Rh -0.060 -3.178 4.638
Rh 1.202 -2.424 0.089
Tc -0.030 -1.584 2.312
CELL_PARAMETERS angstrom
-0.732 -2.608 -1.797
3.167 -0.623 -0.386
-0.061 -3.198 4.668
```

Properties
Calculated density (Mg/m³): 13.54
E_form (meV/atom): 87
Energy above the most stable polymorph in this dataset (eV per formula unit): 1.169
Symmetry: P4mm, No. 99
Spin magnetization (μB/f.u.): 0.0
E_tot (eV/atom): -9.419